A relaxed structure of MgAs2HSe, computed with PBE.

Properties
DFT total energy: -16.87 eV/f.u.
space group: P4/mmm
polymorph energy (0 for the lowest one): 0.000 eV/atom

Structure (POSCAR):
```
MgAs2HSe
1.0
3.862 0.000 0.000
0.000 3.862 0.000
0.000 0.000 6.299
Mg As H Se
1 2 1 1
Direct
0.000 0.000 0.000
0.000 0.500 0.500
0.500 0.000 0.500
0.500 0.500 0.500
0.500 0.500 0.000
```

A relaxed structure of Mg2ZnAsH, computed with PBE.

Properties
DFT total energy: -9.39 eV/f.u.
space group: P4/mmm

Structure (POSCAR):
```
Mg2ZnAsH
1.0
5.098 0.000 0.000
0.000 5.098 0.000
0.000 0.000 4.639
Mg Zn As H
2 1 1 1
Direct
0.000 0.500 0.000
0.500 0.000 0.000
0.000 0.000 0.000
0.000 0.000 0.500
0.500 0.500 0.500
```

A relaxed structure of MgZnAsH, computed with PBE.

Properties
DFT total energy: -11.30 eV/f.u.
space group: Amm2

Structure (POSCAR):
```
MgZnAsH
1.0
5.080 0.000 0.000
0.000 2.149 3.562
0.000 -2.149 3.562
Mg Zn As H
1 1 1 1
Direct
0.000 0.000 0.000
0.500 0.267 0.267
0.500 0.923 0.923
0.000 0.274 0.274
```

A relaxed structure of MnAs2H, computed with PBE.

Properties
DFT total energy: -20.14 eV/f.u.
space group: Fm-3m
polymorph energy (0 for the lowest one): 0.347 eV/atom

Structure (POSCAR):
```
MnAs2H
1.0
0.000 2.985 2.985
2.985 0.000 2.985
2.985 2.985 0.000
Mn As H
1 2 1
Direct
0.000 0.000 0.000
0.250 0.250 0.250
0.750 0.750 0.750
0.500 0.500 0.500
```

A relaxed structure of MnAsH2, computed with PBE.

Properties
DFT total energy: -17.84 eV/f.u.
space group: Fm-3m
polymorph energy (0 for the lowest one): 0.272 eV/atom

Structure (POSCAR):
```
MnAsH2
1.0
0.000 2.706 2.706
2.706 0.000 2.706
2.706 2.706 0.000
Mn As H
1 1 2
Direct
0.000 0.000 0.000
0.500 0.500 0.500
0.250 0.250 0.250
0.750 0.750 0.750
```

A relaxed structure of MnAs2H, computed with PBE.

Properties
DFT total energy: -19.79 eV/f.u.
space group: I-42d
polymorph energy (0 for the lowest one): 0.435 eV/atom

Structure (POSCAR):
```
MnAs2H
1.0
-2.828 2.828 3.170
2.828 -2.828 3.170
2.828 2.828 -3.170
Mn As H
2 4 2
Direct
0.000 0.000 0.000
0.750 0.250 0.500
0.186 0.625 0.061
0.375 0.436 0.561
0.564 0.125 0.939
0.875 0.814 0.439
0.250 0.750 0.500
0.500 0.500 0.000
```